Material: CsCoF3
Method: DFT, meta-GGA SCAN
State: PBEsol geometry

* E_tot: -78.20 eV per formula unit
* D(E_F): 3.4 states/eV/f.u.
* magnetization: 27.0 Bohr magnetons per cell
* density: 5.22 g/cm3
* raw formation energy: -2494 meV/atom

Cell lengths 6.1264, 6.1264, 21.9312 Å; angles 90.00, 90.00, 120.00 degrees
Space group R-3m (No. 166, hexagonal axes)
One atom of each set of equivalent atoms:
Cs: 0.0000 0.0000 0.0000 [3 per cell]
Cs: 0.0000 0.0000 0.2153 [6 per cell]
Co: 0.0000 0.0000 0.3803 [6 per cell]
Co: 0.0000 0.0000 0.5000 [3 per cell]
F: 0.0000 0.5000 0.0000 [9 per cell]
F: 0.0406 0.5203 0.2255 [18 per cell]